! LiCuPtSe3, relaxed, DFT GGA-PBE; values from VASP
! Raw total energy = -0.150 Ha/atom
&SYSTEM
  ibrav = 0, nat = 12, ntyp = 4
/
ATOMIC_SPECIES
Cu 63.55 Cu.upf
Li 6.94 Li.upf
Pt 195.08 Pt.upf
Se 78.96 Se.upf
CELL_PARAMETERS angstrom
5.959 -1.904 0.000
5.959 1.904 0.000
0.000 0.000 10.058
ATOMIC_POSITIONS angstrom
Cu 11.217 0.000 2.515
Cu 0.700 0.000 7.544
Li 2.893 0.000 2.515
Li 9.024 0.000 7.544
Pt 5.959 0.000 0.000
Pt 5.959 0.000 5.029
Se 10.247 0.000 0.333
Se 6.840 0.000 2.515
Se 10.247 0.000 4.696
Se 1.670 0.000 5.362
Se 5.077 0.000 7.544
Se 1.670 0.000 9.725